DFT (PBE+U) results for SrVO3 after structural relaxation.

a = 7.4063 Å, b = 7.4063 Å, c = 6.6402 Å
α = 92.24°, β = 92.24°, γ = 23.69°
Last column: nearest neighbours and their distance in Å.
Positions (direct):
Sr 0.1305 0.1305 0.3775  6 O 2.42-2.65
Sr 0.8695 0.8695 0.6225  6 O 2.42-2.65
V 0.3880 0.3880 0.1699  1 O 1.76
V 0.6120 0.6120 0.8301  1 O 1.76
O 0.0361 0.0361 0.7117  2 V 2.02
O 0.1381 0.1381 0.0140  2 V 1.98
O 0.3059 0.3059 0.3579  1 V 1.76
O 0.6941 0.6941 0.6421  1 V 1.76
O 0.8619 0.8619 0.9860  2 V 1.98
O 0.9639 0.9639 0.2883  2 V 2.02

The space group is C2/m, No. 12. The calculation puts the total energy at -6.975 eV per atom.